# Tb6Pr5Dy2 (GGA-PBE, relaxed)
data_Tb6Pr5Dy2
_chemical_formula_sum 'Tb12 Pr10 Dy4'
_space_group_name_H-M_alt 'P 1'
_space_group_IT_number 1
_cell_length_a 3.6288
_cell_length_b 11.7363
_cell_length_c 20.7461
_cell_angle_alpha 90.00
_cell_angle_beta 90.00
_cell_angle_gamma 90.00
loop_
_space_group_symop_operation_xyz
'x,y,z'
loop_
_atom_site_label
_atom_site_type_symbol
_atom_site_fract_x
_atom_site_fract_y
_atom_site_fract_z
Tb1 Tb 0.0000 0.9377 0.9190
Tb2 Tb 0.0000 0.9191 0.6318
Dy1 Dy 0.0000 0.6717 0.7110
Tb3 Tb 0.0000 0.4191 0.8682
Pr1 Pr 0.5000 0.0000 0.5000
Pr2 Pr 0.5000 0.3018 0.4489
Dy2 Dy 0.0000 0.8283 0.2110
Tb4 Tb 0.0000 0.0623 0.0810
Tb5 Tb 0.5000 0.6750 0.8615
Pr3 Pr 0.5000 0.5834 0.2731
Pr4 Pr 0.5000 0.0834 0.2269
Pr5 Pr 0.5000 0.6982 0.5511
Tb6 Tb 0.0000 0.5623 0.4190
Tb7 Tb 0.5000 0.8250 0.3615
Pr6 Pr 0.5000 0.9166 0.7731
Pr7 Pr 0.5000 0.5000 0.0000
Pr8 Pr 0.5000 0.4166 0.7269
Tb8 Tb 0.5000 0.3250 0.1385
Pr9 Pr 0.5000 0.1982 0.9489
Dy3 Dy 0.0000 0.1717 0.7890
Tb9 Tb 0.0000 0.5809 0.1318
Dy4 Dy 0.0000 0.3283 0.2890
Tb10 Tb 0.0000 0.0809 0.3682
Tb11 Tb 0.5000 0.1750 0.6385
Tb12 Tb 0.0000 0.4377 0.5810
Pr10 Pr 0.5000 0.8018 0.0511
# E_tot	-4.592	eV per atom
# magnetic moment	0.000	Bohr magnetons per cell
# energy of formation from the pure elements	0.092	eV per atom